Compound: YCrCo2
Source: Alexandria via LeMat-Bulk
Functional: PBE
Structure: optimized geometry

Values from the calculation:
space-group type = Pm (6)
V = 62.0 Å³/cell
relative energy among the computed polymorphs = 256 meV per atom
formation energy = 279 meV/atom

Geometry as POSCAR:
```
YCrCo2
1.0
-2.044 1.800 2.993
-2.072 -2.173 -0.108
1.918 -3.462 3.392
Co Cr Y
2 1 1
direct
0.000 0.134 0.031
0.500 0.143 0.306
0.000 0.501 0.361
0.500 0.723 0.802
```